No. 1
{
  "formula": "AlRe2Se",
  "functional": "PBE",
  "state": "relaxed",
  "lattice_angstrom": [[-3.7114, 3.7114, 2.5222], [3.7114, -3.7114, 2.5222], [3.7114, 3.7114, -2.5222]],
  "species": ["Al", "Al", "Re", "Re", "Re", "Re", "Se", "Se"],
  "frac_coords": [[0.0000, 0.0000, 0.0000], [0.7500, 0.2500, 0.5000], [0.1949, 0.1250, 0.5699], [0.3750, 0.8051, 0.9301], [0.5551, 0.6250, 0.4301], [0.8750, 0.4449, 0.0699], [0.2500, 0.7500, 0.5000], [0.5000, 0.5000, 0.0000]],
  "e_tot_ev_per_atom": -7.149,
  "relative_energy_kj_per_mol_fu": 306,
  "e_form_raw_ev_per_atom": 0.88
}

---

No. 2
{
  "formula": "AlReSe",
  "functional": "PBE",
  "state": "relaxed",
  "lattice_angstrom": [[3.1328, 0.0000, 0.0000], [-1.5664, 2.7131, 0.0000], [0.0000, 0.0000, 5.8294]],
  "species": ["Al", "Re", "Se"],
  "frac_coords": [[0.0000, 0.0000, 0.0000], [0.6667, 0.3333, 0.3254], [0.3333, 0.6667, 0.6290]],
  "e_tot_ev_per_atom": -6.489,
  "relative_energy_kj_per_mol_fu": 5,
  "e_form_raw_ev_per_atom": 0.07
}